[1]
Computed, not measured: TbY3Sc3Se8 after structural relaxation at the PBE-GGA level of DFT.

For the formation energy (no corrections), the calculation gives -1.7636 eV per atom. For the magnetic moment, the calculation gives 0.00 μB/f.u. Its volume is 356 Å³/f.u.

It has space group R-3m (No. 166, hexagonal axes), with a = 7.9275 Å, b = 7.9275 Å, c = 19.5949 Å, α = 90.00°, β = 90.00° and γ = 120.00°. Symmetry generates all atoms from Tb at (0.0000, 0.0000, 0.0000), Y at (0.0000, 0.5000, 0.5000), Sc at (0.0000, 0.5000, 0.0000), Se at (0.0000, 0.0000, 0.2552) and Se at (0.0169, 0.5085, 0.2510).

[2]
Computed, not measured: YCo2Se after structural relaxation at the PBE-GGA level of DFT.

For the formation energy (no corrections), the calculation gives -0.2186 eV per atom. For the magnetic moment, the calculation gives 0.68 μB/f.u. Its volume is 76 Å³/f.u.

It has space group I-42d (No. 122), with a = 4.423 Å, b = 4.423 Å, c = 15.531 Å, α = 90.00°, β = 90.00° and γ = 90.00°. Symmetry generates all atoms from Y at (0.000, 0.000, 0.000), Co at (0.059, 0.250, 0.625) and Se at (0.000, 0.000, 0.500).

| no. | E (hartree per atom) |
| --- | --- |
| 1 | -0.238 |
| 2 | -0.230 |